Entry 1:
Here is a relaxed structure of DyGa4Co3 from Alexandria. Energies are from GGA-PBE.

The structure belongs to space group Cmmm (No. 65); the cell edges are 5.126, 7.989 and 6.407 Å and the angles 90.00°, 90.00° and 90.00°. The asymmetric unit holds Dy at (0.000, 0.000, 0.000), Ga at (0.250, 0.250, 0.295), Co at (0.000, 0.000, 0.500) and Co at (0.000, 0.500, 0.322).

As for the raw total energy: -4.87 eV per atom. The total moment comes out at 2.9 μB per formula unit. The calculation puts the formation energy at -113 meV per atom.

Entry 2:
Here is a relaxed structure of Dy3GaCo from Alexandria. Energies are from GGA-PBE.

The structure belongs to space group C2/m (No. 12); the cell edges are 15.734, 3.686 and 8.322 Å and the angles 90.00°, 92.22° and 90.00°. The asymmetric unit holds Dy at (0.053, 0.000, 0.198), Dy at (0.104, 0.500, 0.551), Dy at (0.250, 0.000, 0.798), Ga at (0.107, 0.500, 0.922) and Co at (0.213, 0.000, 0.440).

As for the raw total energy: -5.09 eV per atom. The total moment comes out at 0.0 μB per formula unit. The excess energy over the best structure of this formula in the dataset is 23 meV per atom. The calculation puts the formation energy at -302 meV per atom.

Entry 3:
Here is a relaxed structure of DyGa8Co4 from Alexandria. Energies are from GGA-PBE.

The structure belongs to space group I4/mmm (No. 139); the cell edges are 8.511, 8.511 and 5.177 Å and the angles 90.00°, 90.00° and 90.00°. The asymmetric unit holds Dy at (0.000, 0.000, 0.000), Ga at (0.000, 0.224, 0.500), Ga at (0.000, 0.339, 0.000) and Co at (0.250, 0.250, 0.250).

As for the raw total energy: -4.76 eV per atom. The total moment comes out at 0.0 μB per formula unit. The calculation puts the formation energy at -353 meV per atom.

Entry 4:
Here is a relaxed structure of DyGa6Co6 from Alexandria. Energies are from GGA-PBE.

The structure belongs to space group Immm (No. 71); the cell edges are 5.041, 8.186 and 8.618 Å and the angles 90.00°, 90.00° and 90.00°. The asymmetric unit holds Dy at (0.000, 0.000, 0.000), Ga at (0.000, 0.000, 0.344), Ga at (0.000, 0.341, 0.000), Ga at (0.000, 0.500, 0.315), Co at (0.000, 0.260, 0.500) and Co at (0.250, 0.250, 0.250).

As for the raw total energy: -5.36 eV per atom. The total moment comes out at 3.2 μB per formula unit. The calculation puts the formation energy at -333 meV per atom.

> total moment of number 3 (DyGa8Co4)?

0.0 μB per formula unit